The following is a DFT calculation (GGA-PBE) of an optimized crystal structure of TcMo2P.

Geometry as POSCAR:
```
TcMo2P
1.0
2.931 0.000 0.000
0.000 4.054 0.000
0.000 0.000 4.974
Tc Mo P
1 2 1
Cartesian
0.000 0.000 0.000
0.000 0.000 2.611
1.466 2.027 1.239
1.466 2.027 3.749
```

Results
Formation enthalpy at 0 K = -0.018 eV per atom
Total magnetic moment = 0.000 Bohr magnetons per cell

***

The following is a DFT calculation (GGA-PBE) of an optimized crystal structure of LiTb3Np3Se8.

Geometry as POSCAR:
```
LiTb3Np3Se8
1.0
4.077 2.354 6.666
-4.077 2.354 6.666
0.000 -4.707 6.666
Li Tb Np Se
1 3 3 8
Cartesian
0.000 0.000 0.000
-4.077 0.000 9.999
-2.038 1.177 3.333
2.038 1.177 3.333
-2.038 -1.177 6.666
-2.038 1.177 13.332
0.000 2.354 6.666
0.000 -2.381 8.317
-2.062 1.191 8.317
-2.062 -1.191 11.681
0.000 0.000 4.992
0.000 0.000 15.006
2.062 1.191 8.317
2.062 -1.191 11.681
0.000 2.381 11.681
```

Results
Total magnetic moment = 12.939 Bohr magnetons per cell
Raw total energy = -6.949 eV per atom

***

The following is a DFT calculation (GGA-PBE) of an optimized crystal structure of Ag7Te2S2.

Geometry as POSCAR:
```
Ag7Te2S2
1.0
4.514 -3.989 0.000
4.514 3.989 0.000
-0.016 0.000 7.249
Ag Te S
7 2 2
Cartesian
0.000 0.000 0.000
6.760 -1.998 2.134
2.252 1.998 5.116
6.760 1.998 2.134
4.506 0.000 2.199
4.506 0.000 5.051
2.252 -1.998 5.116
2.593 0.000 7.245
6.419 0.000 0.004
4.506 2.201 3.625
4.506 -2.201 3.625
```

Results
ΔE to the lowest computed polymorph = 0.019 eV per atom
Total magnetic moment = 0.000 Bohr magnetons per cell

***

The following is a DFT calculation (GGA-PBE) of an optimized crystal structure of Th3Zn.

Geometry as POSCAR:
```
Th3Zn
1.0
3.429 0.000 0.000
0.000 3.441 0.000
0.000 0.000 10.197
Th Zn
3 1
Cartesian
0.000 0.000 0.000
0.000 1.721 4.579
1.714 1.721 7.565
1.714 0.000 2.611
```

Results
Formation enthalpy at 0 K = 0.196 eV per atom
Total magnetic moment = 0.000 Bohr magnetons per cell

***

The following is a DFT calculation (GGA-PBE) of an optimized crystal structure of HfScTlS2.

Geometry as POSCAR:
```
HfScTlS2
1.0
4.912 0.000 0.000
0.000 4.912 0.000
0.000 0.000 5.605
Hf Sc Tl S
1 1 1 2
Cartesian
0.000 0.000 0.000
0.000 0.000 2.803
2.456 2.456 2.803
0.000 2.456 0.000
2.456 0.000 0.000
```

Results
Total magnetic moment = 0.000 Bohr magnetons per cell
Raw total energy = -5.614 eV per atom

***

The following is a DFT calculation (GGA-PBE) of an optimized crystal structure of MnSbPOs2.

Geometry as POSCAR:
```
MnSbPOs2
1.0
4.836 0.000 0.000
0.000 4.836 0.000
0.000 0.000 4.849
Mn Sb P Os
1 1 1 2
Cartesian
0.000 0.000 0.000
2.418 2.418 2.425
2.418 2.418 0.000
0.000 2.418 2.425
2.418 0.000 2.425
```

Results
Total magnetic moment = 0.270 Bohr magnetons per cell
Raw total energy = -5.516 eV per atom

***

The following is a DFT calculation (GGA-PBE) of an optimized crystal structure of PmTm3Mg.

Geometry as POSCAR:
```
PmTm3Mg
1.0
3.599 0.000 0.000
1.799 6.385 0.000
0.004 0.789 12.929
Pm Tm Mg
2 6 2
Cartesian
0.898 0.390 3.459
4.504 6.784 9.470
0.902 3.309 8.877
0.904 1.982 12.066
2.702 5.297 6.721
2.700 1.877 6.207
4.498 5.192 0.862
4.500 3.866 4.051
2.705 4.673 11.381
2.697 2.502 1.547
```

Results
Formation enthalpy at 0 K = -0.012 eV per atom
ΔE to the lowest computed polymorph = 0.000 eV per atom
Total magnetic moment = 0.001 Bohr magnetons per cell

***

The following is a DFT calculation (GGA-PBE) of an optimized crystal structure of Mn2Au.

Geometry as POSCAR:
```
Mn2Au
1.0
1.432 -7.227 0.000
1.432 7.227 0.000
0.000 0.000 4.608
Mn Au
4 2
Cartesian
1.432 6.525 3.456
1.432 1.588 3.456
1.432 -1.588 1.152
1.432 -6.525 1.152
1.432 3.051 1.152
1.432 -3.051 3.456
```

Results
Formation enthalpy at 0 K = 0.266 eV per atom
Total magnetic moment = 14.732 Bohr magnetons per cell

***

Copy entry 2 word for word.
The following is a DFT calculation (GGA-PBE) of an optimized crystal structure of LiTb3Np3Se8.

Geometry as POSCAR:
```
LiTb3Np3Se8
1.0
4.077 2.354 6.666
-4.077 2.354 6.666
0.000 -4.707 6.666
Li Tb Np Se
1 3 3 8
Cartesian
0.000 0.000 0.000
-4.077 0.000 9.999
-2.038 1.177 3.333
2.038 1.177 3.333
-2.038 -1.177 6.666
-2.038 1.177 13.332
0.000 2.354 6.666
0.000 -2.381 8.317
-2.062 1.191 8.317
-2.062 -1.191 11.681
0.000 0.000 4.992
0.000 0.000 15.006
2.062 1.191 8.317
2.062 -1.191 11.681
0.000 2.381 11.681
```

Results
Total magnetic moment = 12.939 Bohr magnetons per cell
Raw total energy = -6.949 eV per atom